Entry 1:
First-principles (PBE-GGA) data for a relaxed RbTe3Pb3 crystal, as listed in the Alexandria database.

Calculated values
Volume   710.8 Å³/cell
Formation energy from raw total energies   -1.7 eV/f.u.
Space group   No. 223
Polymorph energy (0 for the lowest one)   109.6 meV per atom
N(E_F)   13.1 states/eV/cell

a b c (Å): 8.924 8.924 8.924
angles (deg): 90.00 90.00 90.00
Fractional positions:
Te 0.000 0.250 0.500
Pb 0.500 0.750 0.000
Pb 0.000 0.500 0.250
Te 0.000 0.750 0.500
Te 0.750 0.500 0.000
Rb 0.500 0.500 0.500
Pb 0.500 0.250 0.000
Pb 0.250 0.000 0.500
Pb 0.000 0.500 0.750
Pb 0.750 0.000 0.500
Te 0.250 0.500 0.000
Rb 0.000 0.000 0.000
Te 0.500 0.000 0.750
Te 0.500 0.000 0.250

***

Entry 2:
First-principles (PBE-GGA) data for a relaxed DyBi2Sb crystal, as listed in the Alexandria database.

Calculated values
Volume   117.5 Å³/cell
Formation energy from raw total energies   -1.4 eV/f.u.
Space group   No. 123
N(E_F)   2.5 states/eV/cell

a b c (Å): 5.345 4.689 4.689
angles (deg): 90.00 90.00 90.00
Fractional positions:
Bi 0.000 0.000 0.500
Sb 0.500 0.500 0.500
Bi 0.000 0.500 0.000
Dy 0.500 0.000 0.000

***

Entry 3:
First-principles (PBE-GGA) data for a relaxed CuIrRu2 crystal, as listed in the Alexandria database.

Calculated values
Formation enthalpy at 0 K   0.18 eV/atom
Volume   54.9 Å³/cell
Space group   No. 123
Polymorph energy (0 for the lowest one)   46.3 meV per atom
N(E_F)   5.3 states/eV/cell

a b c (Å): 2.719 2.719 7.423
angles (deg): 90.00 90.00 90.00
Fractional positions:
Ir 0.500 0.500 0.750
Cu 0.500 0.500 0.250
Ru 0.000 0.000 0.496
Ru 0.000 0.000 0.004

***

Entry 4:
First-principles (PBE-GGA) data for a relaxed Pm2Zn3Ga4Ni crystal, as listed in the Alexandria database.

Calculated values
Formation enthalpy at 0 K   -0.47 eV/atom
Volume   186.1 Å³/cell
Space group   No. 115
N(E_F)   4.8 states/eV/cell

a b c (Å): 4.216 4.216 10.467
angles (deg): 90.00 90.00 90.00
Fractional positions:
Zn 0.500 0.000 0.860
Ga 0.000 0.000 0.000
Ga 0.500 0.500 0.000
Zn 0.000 0.000 0.500
Zn 0.000 0.500 0.140
Ga 0.000 0.500 0.376
Ga 0.500 0.000 0.624
Pm 0.500 0.000 0.257
Pm 0.000 0.500 0.743
Ni 0.500 0.500 0.500

***

Entry 5:
First-principles (PBE-GGA) data for a relaxed LiNb2Rh4 crystal, as listed in the Alexandria database.

Calculated values
Formation enthalpy at 0 K   -0.16 eV/atom
Volume   227.5 Å³/cell
Space group   No. 1
N(E_F)   11.3 states/eV/cell

a b c (Å): 7.144 6.960 7.142
angles (deg): 134.69 106.79 91.53
Fractional positions:
Nb 0.064 0.339 0.769
Nb 0.593 0.877 0.218
Rh 0.380 0.616 0.279
Rh 0.794 0.058 0.735
Rh 0.864 0.642 0.736
Rh 0.343 0.105 0.720
Li 0.151 0.616 0.550
Rh 0.927 0.694 0.237
Rh 0.541 0.830 0.810
Nb 0.680 0.411 0.224
Nb 0.587 0.375 0.713
Li 0.185 0.135 0.036
Rh 0.914 0.133 0.262
Rh 0.230 0.920 0.210

***

Entry 6:
First-principles (PBE-GGA) data for a relaxed YI2O2 crystal, as listed in the Alexandria database.

Calculated values
Volume   122.3 Å³/cell
Formation energy from raw total energies   -0.7 eV/f.u.
Space group   No. 123
Polymorph energy (0 for the lowest one)   915.2 meV per atom
N(E_F)   3.3 states/eV/cell

a b c (Å): 4.237 4.237 6.811
angles (deg): 90.00 90.00 90.00
Fractional positions:
O 0.500 0.000 0.000
I 0.000 0.000 0.000
O 0.000 0.500 0.000
Y 0.500 0.500 0.500
I 0.000 0.000 0.500

***

Entry 7:
First-principles (PBE-GGA) data for a relaxed YBe2O2 crystal, as listed in the Alexandria database.

Calculated values
Volume   124.0 Å³/cell
Formation energy from raw total energies   -5.8 eV/f.u.
Space group   No. 127
Polymorph energy (0 for the lowest one)   323.9 meV per atom
N(E_F)   4.8 states/eV/cell

a b c (Å): 6.742 6.742 2.728
angles (deg): 90.00 90.00 90.00
Fractional positions:
Be 0.393 0.893 0.000
Y 0.500 0.500 0.000
Y 0.000 0.000 0.000
O 0.303 0.803 0.500
O 0.803 0.697 0.500
Be 0.607 0.107 0.000
O 0.197 0.303 0.500
Be 0.107 0.393 0.000
Be 0.893 0.607 0.000
O 0.697 0.197 0.500

***

Entry 8:
First-principles (PBE-GGA) data for a relaxed Er2VAg crystal, as listed in the Alexandria database.

Calculated values
Formation enthalpy at 0 K   0.01 eV/atom
Volume   91.4 Å³/cell
Space group   No. 123
Polymorph energy (0 for the lowest one)   0.0 meV per atom
N(E_F)   2.8 states/eV/cell

a b c (Å): 3.601 3.601 7.046
angles (deg): 90.00 90.00 90.00
Fractional positions:
Er 0.000 0.000 0.241
Er 0.000 0.000 0.759
V 0.500 0.500 0.000
Ag 0.500 0.500 0.500